Entry 1:
# Sr4SbO2 PBE-GGA optimized geometry
data_Sr4SbO2
_chemical_formula_sum 'Sr16 Sb4 O8'
_space_group_name_H-M_alt 'C 1 2 1'
_space_group_IT_number 5
_space_group_name_Hall 'C 2y'
_cell_length_a 11.775
_cell_length_b 9.096
_cell_length_c 9.845
_cell_angle_alpha 90.00
_cell_angle_beta 126.68
_cell_angle_gamma 90.00
loop_
_atom_site_label
_atom_site_type_symbol
_atom_site_fract_x
_atom_site_fract_y
_atom_site_fract_z
Sr1 Sr 0.006 0.000 0.335
Sr2 Sr 0.048 0.450 0.232
Sr3 Sr 0.170 0.695 0.666
Sr4 Sr 0.184 0.745 0.231
Sb1 Sb 0.000 0.098 0.000
Sb2 Sb 0.000 0.348 0.500
O1 O 0.049 0.723 0.348
O2 O 0.200 0.972 0.652
# total energy = -4.709 eV/atom
# formation energy from raw total energies = -1743 meV per atom
# V = 30.20 Å³ per atom

Entry 2:
# Sr2SbO PBE-GGA optimized geometry
data_Sr2SbO
_chemical_formula_sum 'Sr6 Sb3 O3'
_space_group_name_H-M_alt 'R -3 m'
_space_group_IT_number 166
_space_group_name_Hall '-R 3 2"'
_cell_length_a 4.8118
_cell_length_b 4.8118
_cell_length_c 25.1447
_cell_angle_alpha 90.00
_cell_angle_beta 90.00
_cell_angle_gamma 120.00
loop_
_atom_site_label
_atom_site_type_symbol
_atom_site_fract_x
_atom_site_fract_y
_atom_site_fract_z
Sr1 Sr 0.0000 0.0000 0.0855
Sb1 Sb 0.0000 0.0000 0.5000
O1 O 0.0000 0.0000 0.0000
# ΔE to the lowest computed polymorph = 542.4 meV per atom
# total energy = -4.315 eV/atom
# formation energy from raw total energies = -1204 meV per atom
# V = 42.02 Å³ per atom

Entry 3:
# Sr3Sb2O7 PBE-GGA optimized geometry
data_Sr3Sb2O7
_chemical_formula_sum 'Sr6 Sb4 O14'
_space_group_name_H-M_alt 'I 4/m m m'
_space_group_IT_number 139
_space_group_name_Hall '-I 4 2'
_cell_length_a 4.219
_cell_length_b 4.219
_cell_length_c 21.179
_cell_angle_alpha 90.00
_cell_angle_beta 90.00
_cell_angle_gamma 90.00
loop_
_atom_site_label
_atom_site_type_symbol
_atom_site_fract_x
_atom_site_fract_y
_atom_site_fract_z
Sr1 Sr 0.000 0.000 0.000
Sr2 Sr 0.000 0.000 0.186
Sb1 Sb 0.000 0.000 0.398
O1 O 0.000 0.000 0.299
O2 O 0.000 0.000 0.500
O3 O 0.000 0.500 0.102
# total energy = -6.103 eV/atom
# formation energy from raw total energies = -2103 meV per atom
# V = 15.71 Å³ per atom